(P)
A relaxed CoPb3W crystal, computed with PBE-GGA.

The structure in POSCAR format:
```
CoPb3W
1.0
-4.8131 0.4697 1.4234
-1.2494 -3.9019 -2.9371
0.8281 -3.1571 3.8418
Pb W Co
3 1 1
direct
0.0000 0.0000 0.5000
0.0000 0.5000 0.0000
0.5000 0.0000 0.0000
0.5000 0.5000 0.5000
0.0000 0.0000 0.0000
```

Computed properties:
Crystal system ... cubic

=====

(Q)
A relaxed CoPb3W crystal, computed with PBE-GGA.

The structure in POSCAR format:
```
CoPb3W
1.0
5.3981 0.0000 0.0000
0.0000 5.3981 0.0000
0.0000 0.0000 5.3981
Pb W Co
3 1 1
direct
0.0000 0.0000 0.5000
0.0000 0.5000 0.0000
0.5000 0.0000 0.0000
0.0000 0.0000 0.0000
0.5000 0.5000 0.5000
```

Computed properties:
Crystal system ... cubic

=====

(P) comes first in stability; the runner-up is 20 meV/atom higher.